#w
The following is a DFT calculation (PBE) of a relaxed structure of B2C.

Theoretical density ... 2.529 g/cm3
Space-group type ... No. 25

Structure (extended XYZ):
```
12
Lattice="2.740 0.000 0.000 0.000 2.743 0.000 0.000 0.000 11.755" Properties=species:S:1:pos:R:3 pbc="T T T"
B 0.000 0.000 0.000
B 0.000 0.000 3.261
B 0.000 0.000 7.335
B 0.000 1.371 4.499
B 0.000 1.371 8.790
B 1.370 0.000 10.303
B 1.370 1.371 1.602
B 1.370 1.371 5.765
C 0.000 1.371 0.663
C 1.370 0.000 2.542
C 1.370 0.000 6.614
C 1.370 1.371 9.548
```

***

#x
The following is a DFT calculation (PBE) of a relaxed structure of B2C.

Theoretical density ... 2.638 g/cm3
Space-group type ... No. 6

Structure (extended XYZ):
```
12
Lattice="5.110 0.000 0.000 0.000 2.474 0.000 -0.700 0.000 6.698" Properties=species:S:1:pos:R:3 pbc="T T T"
B 0.000 0.000 0.000
B 0.028 1.237 2.349
B 0.414 1.237 4.125
B 1.085 0.000 1.644
B 1.764 0.000 0.126
B 2.049 1.237 5.948
B 2.805 0.000 1.993
B 4.302 0.000 4.036
C 1.999 1.237 4.307
C 2.708 0.000 3.750
C 3.797 1.237 1.527
C 4.115 1.237 0.073
```

***

#y
The following is a DFT calculation (PBE) of a relaxed structure of B2C.

Theoretical density ... 2.497 g/cm3
Space-group type ... No. 8

Structure (extended XYZ):
```
12
Lattice="6.916 -1.326 0.000 6.916 1.326 0.000 -1.297 0.000 4.877" Properties=species:S:1:pos:R:3 pbc="T T T"
B 0.000 0.000 0.000
B -0.842 0.000 3.251
B 0.532 0.000 4.657
B 2.398 0.000 2.396
B 4.601 0.000 1.956
B 7.183 0.000 1.300
B 11.020 0.000 0.603
B 11.019 0.000 4.008
C 3.563 0.000 3.334
C 6.114 0.000 2.430
C 8.749 0.000 1.663
C 9.481 0.000 0.230
```

***

The data favor #y; the next most stable structure lies 0.7 kJ/mol of atoms above it.

***

#w
The following is a DFT calculation (PBE) of a relaxed structure of B2C.

Theoretical density ... 2.700 g/cm3
Space-group type ... No. 51

Structure (extended XYZ):
```
12
Lattice="2.368 0.000 0.000 0.000 7.596 0.000 0.000 0.000 4.599" Properties=species:S:1:pos:R:3 pbc="T T T"
B 0.592 0.000 0.650
B 0.592 1.435 1.642
B 0.592 3.798 1.581
B 0.592 6.160 1.642
B 1.776 0.000 3.949
B 1.776 1.435 2.957
B 1.776 3.798 3.018
B 1.776 6.160 2.957
C 0.592 2.545 0.429
C 0.592 5.050 0.429
C 1.776 2.545 4.170
C 1.776 5.050 4.170
```

***

#x
The following is a DFT calculation (PBE) of a relaxed structure of B2C.

Theoretical density ... 2.585 g/cm3
Space-group type ... No. 8

Structure (extended XYZ):
```
12
Lattice="5.718 -1.357 0.000 5.718 1.357 0.000 -0.719 0.000 5.568" Properties=species:S:1:pos:R:3 pbc="T T T"
B 0.000 0.000 0.000
B -0.177 0.000 2.029
B 2.850 0.000 1.511
B 2.755 0.000 5.545
B 7.006 0.000 1.113
B 6.792 0.000 3.989
B 9.561 0.000 2.655
B 9.886 0.000 0.889
C 2.167 0.000 4.145
C 3.184 0.000 3.083
C 5.708 0.000 5.193
C 6.213 0.000 2.482
```

***

The data favor #x; the next most stable structure lies 16.7 kJ/mol of atoms above it.

***

#w
The following is a DFT calculation (PBE) of a relaxed structure of Zr2TaMo.

Theoretical density ... 9.841 g/cm3
Space-group type ... No. 47

Structure (extended XYZ):
```
4
Lattice="3.370 0.000 0.000 0.000 4.785 0.000 0.000 0.000 4.806" Properties=species:S:1:pos:R:3 pbc="T T T"
Zr 0.000 0.000 0.000
Zr 1.685 2.392 0.000
Ta 0.000 2.392 2.403
Mo 1.685 0.000 2.403
```

***

#x
The following is a DFT calculation (PBE) of a relaxed structure of Zr2TaMo.

Theoretical density ... 9.644 g/cm3
Space-group type ... No. 6

Structure (extended XYZ):
```
4
Lattice="3.076 0.000 0.000 0.000 4.553 0.000 -1.296 0.000 5.648" Properties=species:S:1:pos:R:3 pbc="T T T"
Zr 0.000 0.000 0.000
Zr -0.004 2.276 4.067
Ta 1.274 0.000 2.599
Mo 2.127 2.276 1.383
```

***

The data favor #x; the next most stable structure lies 5.1 kJ/mol of atoms above it.

***

#w
The following is a DFT calculation (PBE) of a relaxed structure of Tm2AlV.

Theoretical density ... 7.694 g/cm3
Space-group type ... No. 123

Structure (extended XYZ):
```
4
Lattice="3.588 0.000 0.000 0.000 3.588 0.000 0.000 0.000 6.970" Properties=species:S:1:pos:R:3 pbc="T T T"
Tm 0.000 0.000 1.700
Tm 0.000 0.000 5.270
Al 1.794 1.794 3.485
V 1.794 1.794 0.000
```

***

#x
The following is a DFT calculation (PBE) of a relaxed structure of Tm2AlV.

Theoretical density ... 7.735 g/cm3
Space-group type ... No. 225

Structure (extended XYZ):
```
16
Lattice="7.094 0.000 0.000 0.000 7.094 0.000 0.000 0.000 7.094" Properties=species:S:1:pos:R:3 pbc="T T T"
Tm 1.774 1.774 1.774
Tm 1.774 1.774 5.321
Tm 1.774 5.321 1.774
Tm 1.774 5.321 5.321
Tm 5.321 1.774 1.774
Tm 5.321 1.774 5.321
Tm 5.321 5.321 1.774
Tm 5.321 5.321 5.321
Al 0.000 0.000 0.000
Al 0.000 3.547 3.547
Al 3.547 0.000 3.547
Al 3.547 3.547 0.000
V 0.000 0.000 3.547
V 0.000 3.547 0.000
V 3.547 0.000 0.000
V 3.547 3.547 3.547
```

***

The data favor #x; the next most stable structure lies 0.6 kJ/mol of atoms above it.

***

#w
The following is a DFT calculation (PBE) of a relaxed structure of Sc2SbTe.

Theoretical density ... 5.908 g/cm3
Space-group type ... No. 123

Structure (extended XYZ):
```
4
Lattice="3.582 0.000 0.000 0.000 3.582 0.000 0.000 0.000 7.431" Properties=species:S:1:pos:R:3 pbc="T T T"
Sc 0.000 0.000 1.847
Sc 0.000 0.000 5.585
Sb 1.791 1.791 3.716
Te 1.791 1.791 0.000
```

***

#x
The following is a DFT calculation (PBE) of a relaxed structure of Sc2SbTe.

Theoretical density ... 5.063 g/cm3
Space-group type ... No. 160

Structure (extended XYZ):
```
12
Lattice="3.414 0.000 0.000 -1.707 2.957 0.000 0.000 0.000 33.066" Properties=species:S:1:pos:R:3 pbc="T T T"
Sc 0.000 0.000 0.000
Sc 0.000 0.000 8.394
Sc 0.000 1.971 22.044
Sc 0.000 1.971 30.438
Sc 1.707 0.986 11.022
Sc 1.707 0.986 19.416
Sb 0.000 0.000 17.046
Sb 0.000 1.971 6.024
Sb 1.707 0.986 28.068
Te 0.000 0.000 24.264
Te 0.000 1.971 13.242
Te 1.707 0.986 2.220
```

***

The data favor #w; the next most stable structure lies 44.7 kJ/mol of atoms above it.

***

#w
The following is a DFT calculation (PBE) of a relaxed structure of KLiBe2.

Theoretical density ... 1.002 g/cm3
Space-group type ... No. 8

Structure (extended XYZ):
```
16
Lattice="7.363 0.000 0.000 0.000 4.237 0.000 -2.607 0.000 13.608" Properties=species:S:1:pos:R:3 pbc="T T T"
K 0.000 0.000 0.000
K -0.027 0.000 9.563
K 3.681 2.119 0.000
K 3.654 2.119 9.563
Li 1.231 2.119 6.739
Li 2.420 0.000 2.881
Li 4.912 0.000 6.739
Li 6.101 2.119 2.881
Be -0.606 1.054 5.019
Be -0.606 3.183 5.019
Be 1.230 2.119 4.477
Be 1.226 0.000 5.044
Be 3.075 1.065 5.019
Be 3.075 3.173 5.019
Be 4.911 0.000 4.477
Be 4.907 2.119 5.044
```

***

#x
The following is a DFT calculation (PBE) of a relaxed structure of KLiBe2.

Theoretical density ... 1.190 g/cm3
Space-group type ... No. 1

Structure (extended XYZ):
```
8
Lattice="3.782 0.000 0.000 1.869 3.809 0.000 0.198 1.854 12.405" Properties=species:S:1:pos:R:3 pbc="T T T"
K 0.000 0.000 0.000
K 2.035 3.362 8.310
Li 1.957 1.661 2.509
Li 3.848 1.724 5.802
Be 1.950 2.787 4.742
Be 3.832 4.365 4.811
Be 3.842 2.831 3.501
Be 3.855 0.603 3.569
```

***

The data favor #w; the next most stable structure lies 2.0 kJ/mol of atoms above it.